1.
# Ta2CoPb

A geometry-optimized Ta2CoPb structure (GGA-PBE, Alexandria).

Computed properties:
Total energy   -8.4010 eV/atom
Energy of formation   0.2289 eV/atom
D(E_F)   2.88 states/eV/cell

a b c (Å): 3.1577 3.1577 7.4693
angles (deg): 90.00 90.00 90.00
Fractional positions:
Ta  0.0000  0.0000  0.0000
Ta  0.5000  0.5000  0.2499
Co  0.0000  0.0000  0.4088
Pb  0.5000  0.5000  0.6838

---

2.
# Ca2CdAs2

A geometry-optimized Ca2CdAs2 structure (GGA-PBE, Alexandria).

Computed properties:
Total energy   -3.5927 eV/atom
Energy of formation   -0.7493 eV/atom
D(E_F)   6.57 states/eV/cell

a b c (Å): 7.7496 7.7496 4.1344
angles (deg): 90.00 90.00 90.00
Fractional positions:
Ca  0.1499  0.3501  0.0000
Ca  0.3501  0.8501  0.0000
Ca  0.6499  0.1499  0.0000
Ca  0.8501  0.6499  0.0000
Cd  0.0000  0.0000  0.5000
Cd  0.5000  0.5000  0.5000
As  0.1593  0.6593  0.5000
As  0.3407  0.1593  0.5000
As  0.6593  0.8407  0.5000
As  0.8407  0.3407  0.5000

---

3.
# LiTi2Pt2

A geometry-optimized LiTi2Pt2 structure (GGA-PBE, Alexandria).

Computed properties:
Total energy   -6.5497 eV/atom
Energy of formation   -0.5926 eV/atom
D(E_F)   4.25 states/eV/cell
Energy above the lowest structure with this stoichiometry   0.140 eV per atom

a b c (Å): 6.0160 6.0160 6.0160
angles (deg): 138.00 138.00 60.90
Fractional positions:
Li  0.0000  0.0000  0.0000
Ti  0.2500  0.7500  0.5000
Ti  0.7500  0.2500  0.5000
Pt  0.3768  0.3768  0.0000
Pt  0.6232  0.6232  0.0000

---

4.
# AlTc2Ru

A geometry-optimized AlTc2Ru structure (GGA-PBE, Alexandria).

Computed properties:
Total energy   -8.3238 eV/atom
Energy of formation   0.1138 eV/atom
D(E_F)   3.81 states/eV/cell
Energy above the lowest structure with this stoichiometry   0.363 eV per atom

a b c (Å): 2.7015 2.7015 8.7278
angles (deg): 90.00 90.00 114.24
Fractional positions:
Al  0.0000  0.0000  0.0000
Tc  0.5000  0.5000  0.2476
Tc  0.5000  0.5000  0.7524
Ru  0.0000  0.0000  0.5000